A plane-wave DFT calculation with PBE was carried out for crystalline Dy5Er4Zr2 at its relaxed geometry.

Lattice parameters (Å, degrees): 3.432 8.588 11.227 93.58 90.00 90.00
Element x y z (fractional)
1 Dy 0.000 0.422 0.703
2 Dy 0.000 0.500 0.000
3 Er 0.500 0.730 0.552
4 Er 0.500 0.270 0.448
5 Dy 0.000 0.578 0.297
6 Er 0.500 0.842 0.120
7 Zr 0.000 0.053 0.631
8 Zr 0.000 0.947 0.369
9 Er 0.500 0.158 0.880
10 Dy 0.000 0.810 0.833
11 Dy 0.000 0.190 0.167

Properties
Space-group type: P2/m (10)
Energy of formation (kJ per mole of atoms): 10

A plane-wave DFT calculation with PBE was carried out for crystalline HoTc2BC at its relaxed geometry.

Lattice parameters (Å, degrees): 3.433 5.753 7.198 90.00 90.00 107.36
Element x y z (fractional)
1 Tc 0.173 0.345 0.564
2 C 0.000 0.000 0.000
3 C 0.000 0.000 0.500
4 Ho 0.544 0.089 0.250
5 B 0.736 0.473 0.750
6 B 0.264 0.527 0.250
7 Tc 0.827 0.655 0.436
8 Tc 0.827 0.655 0.064
9 Tc 0.173 0.345 0.936
10 Ho 0.456 0.911 0.750

Properties
Space-group type: Cmcm (63)
Energy of formation (kJ per mole of atoms): -38

A plane-wave DFT calculation with PBE was carried out for crystalline LiDyHgPd at its relaxed geometry.

Lattice parameters (Å, degrees): 4.869 4.869 4.869 60.00 60.00 60.00
Element x y z (fractional)
1 Dy 0.500 0.500 0.500
2 Li 0.000 0.000 0.000
3 Hg 0.750 0.750 0.750
4 Pd 0.250 0.250 0.250

Properties
Space-group type: F-43m (216)
Energy of formation (kJ per mole of atoms): -50

A plane-wave DFT calculation with PBE was carried out for crystalline AlCd2B2Ir5 at its relaxed geometry.

Lattice parameters (Å, degrees): 2.931 9.693 9.693 90.00 90.00 90.00
Element x y z (fractional)
1 Ir 0.500 0.217 0.067
2 Cd 0.000 0.178 0.322
3 Ir 0.500 0.567 0.717
4 Ir 0.500 0.717 0.433
5 Cd 0.000 0.678 0.178
6 Ir 0.500 0.433 0.283
7 Ir 0.500 0.933 0.217
8 Cd 0.000 0.822 0.678
9 Ir 0.500 0.067 0.783
10 B 0.000 0.126 0.626
11 Ir 0.500 0.283 0.567
12 B 0.000 0.626 0.874
13 Al 0.000 0.000 0.000
14 B 0.000 0.874 0.374
15 Ir 0.500 0.000 0.500
16 Cd 0.000 0.322 0.822
17 Ir 0.500 0.500 0.000
18 Al 0.000 0.500 0.500
19 B 0.000 0.374 0.126
20 Ir 0.500 0.783 0.933

Properties
Space-group type: P4/mbm (127)
Energy of formation (kJ per mole of atoms): -26